1.
## KMnMo2 (PBE)

Data for a geometry-optimized KMnMo2 structure.

POSCAR file:
```
KMnMo2
1.0
-2.061 0.327 -3.674
2.362 -0.382 -1.360
-0.358 -7.740 -0.488
K Mn Mo
1 1 2
direct
0.000 0.463 0.505 K
0.500 0.707 0.848 Mn
0.000 0.047 0.996 Mo
0.500 0.284 0.151 Mo
```

- Energy above the most stable polymorph in this dataset: 85 meV per atom
- Size of the total moment: 3.26 Bohr magnetons per cell
- Energy of formation from the pure elements: 0.839 eV per atom
- Calculated total energy: -7.14 eV/atom

2.
## Ce3In12Au (PBE)

Data for a geometry-optimized Ce3In12Au structure.

POSCAR file:
```
Ce3In12Au
1.0
4.697 0.000 0.000
0.000 4.697 0.000
0.000 0.000 18.492
Ce In Au
3 12 1
direct
0.000 0.000 0.243 Ce
0.000 0.000 0.500 Ce
0.000 0.000 0.757 Ce
0.500 0.500 0.000 In
0.500 0.500 0.249 In
0.500 0.500 0.500 In
0.500 0.500 0.751 In
0.500 0.000 0.113 In
0.500 0.000 0.372 In
0.500 0.000 0.628 In
0.500 0.000 0.887 In
0.000 0.500 0.113 In
0.000 0.500 0.372 In
0.000 0.500 0.628 In
0.000 0.500 0.887 In
0.000 0.000 0.000 Au
```

- Size of the total moment: 2.64 Bohr magnetons per cell
- Energy of formation from the pure elements: -0.295 eV per atom
- Calculated total energy: -3.67 eV/atom

3.
## PmAl2Ru (PBE)

Data for a geometry-optimized PmAl2Ru structure.

POSCAR file:
```
PmAl2Ru
1.0
3.157 0.000 0.000
0.000 3.157 0.000
0.000 0.000 7.433
Ru Al Pm
1 2 1
direct
0.500 0.500 0.000 Ru
0.000 0.000 0.818 Al
0.000 0.000 0.182 Al
0.500 0.500 0.500 Pm
```

- Energy above the most stable polymorph in this dataset: 56 meV per atom
- Size of the total moment: 0.00 Bohr magnetons per cell
- Energy of formation from the pure elements: -0.495 eV per atom
- Calculated total energy: -5.87 eV/atom

4.
## Hf2Ag2Bi (PBE)

Data for a geometry-optimized Hf2Ag2Bi structure.

POSCAR file:
```
Hf2Ag2Bi
1.0
-0.203 8.026 1.736
-4.974 1.262 -6.414
-2.594 -0.480 1.917
Hf Bi Ag
4 2 4
direct
0.167 0.667 0.500 Hf
0.667 0.833 0.500 Hf
0.833 0.333 0.500 Hf
0.333 0.167 0.500 Hf
0.000 0.000 0.000 Bi
0.500 0.500 0.000 Bi
0.375 0.875 0.000 Ag
0.875 0.625 0.000 Ag
0.625 0.125 0.000 Ag
0.125 0.375 0.000 Ag
```

- Energy above the most stable polymorph in this dataset: 0 meV per atom
- Size of the total moment: 0.00 Bohr magnetons per cell
- Energy of formation from the pure elements: 0.153 eV per atom
- Calculated total energy: -5.75 eV/atom

5.
## Be2CuSe (PBE)

Data for a geometry-optimized Be2CuSe structure.

POSCAR file:
```
Be2CuSe
1.0
4.223 0.000 0.000
2.112 3.657 0.000
2.112 1.219 3.448
Be Cu Se
2 1 1
direct
0.000 0.000 0.000 Be
0.250 0.250 0.250 Be
0.500 0.500 0.500 Cu
0.750 0.750 0.750 Se
```

- Formation energy from raw total energies: 689 meV/atom
- Size of the total moment: 0.00 Bohr magnetons per cell
- Calculated total energy: -3.07 eV/atom

6.
## CsMnFe3 (PBE)

Data for a geometry-optimized CsMnFe3 structure.

POSCAR file:
```
CsMnFe3
1.0
-3.168 1.491 2.917
-3.238 -0.807 -3.104
-0.499 -4.230 1.620
Cs Mn Fe
1 1 3
direct
0.000 0.000 0.000 Cs
0.500 0.500 0.500 Mn
0.000 0.500 0.000 Fe
0.000 0.000 0.500 Fe
0.500 0.000 0.000 Fe
```

- Energy above the most stable polymorph in this dataset: 1888 meV per atom
- Size of the total moment: 0.45 Bohr magnetons per cell
- Energy of formation from the pure elements: 3.339 eV per atom
- Calculated total energy: -3.74 eV/atom

7.
## KAl3Ga (PBE)

Data for a geometry-optimized KAl3Ga structure.

POSCAR file:
```
KAl3Ga
1.0
-5.007 -1.000 2.701
2.017 -5.084 1.857
2.056 2.553 4.757
K Al Ga
1 3 1
direct
0.000 0.000 0.000 K
0.000 0.500 0.000 Al
0.000 0.000 0.500 Al
0.500 0.000 0.000 Al
0.500 0.500 0.500 Ga
```

- Energy above the most stable polymorph in this dataset: 1546 meV per atom
- Size of the total moment: 0.00 Bohr magnetons per cell
- Energy of formation from the pure elements: 1.521 eV per atom
- Calculated total energy: -1.55 eV/atom

8.
## NdEuS2 (PBE)

Data for a geometry-optimized NdEuS2 structure.

POSCAR file:
```
NdEuS2
1.0
-2.277 2.844 -1.842
-1.917 -0.870 -3.497
-6.800 -1.416 1.697
Eu S Nd
1 2 1
direct
0.500 0.500 0.500 Eu
0.251 0.251 0.248 S
0.749 0.749 0.752 S
0.000 0.000 0.000 Nd
```

- Formation energy from raw total energies: -2091 meV/atom
- Size of the total moment: 6.88 Bohr magnetons per cell
- Calculated total energy: -7.92 eV/atom

9.
## TlGeCl3 (PBE)

Data for a geometry-optimized TlGeCl3 structure.

POSCAR file:
```
TlGeCl3
1.0
5.521 0.000 -0.627
0.000 5.414 0.000
-1.625 0.000 11.124
Tl Ge Cl
2 2 6
direct
0.840 0.250 0.183 Tl
0.160 0.750 0.817 Tl
0.426 0.750 0.341 Ge
0.574 0.250 0.659 Ge
0.646 0.250 0.877 Cl
0.354 0.750 0.123 Cl
0.995 0.750 0.340 Cl
0.005 0.250 0.660 Cl
0.444 0.250 0.345 Cl
0.556 0.750 0.655 Cl
```

- Formation energy from raw total energies: -900 meV/atom
- Size of the total moment: 0.00 Bohr magnetons per cell
- Calculated total energy: -3.40 eV/atom

10.
## CaTb2Ga (PBE)

Data for a geometry-optimized CaTb2Ga structure.

POSCAR file:
```
CaTb2Ga
1.0
-1.302 4.677 -0.871
-2.913 1.076 -3.832
-6.157 1.232 1.852
Ca Tb Ga
1 2 1
direct
0.500 0.500 0.500 Ca
0.278 0.278 0.166 Tb
0.722 0.722 0.834 Tb
0.000 0.000 0.000 Ga
```

- Energy above the most stable polymorph in this dataset: 186 meV per atom
- Size of the total moment: 0.00 Bohr magnetons per cell
- Energy of formation from the pure elements: -0.050 eV per atom
- Calculated total energy: -3.62 eV/atom

11.
## K4Rb2InSb2 (PBE)

Data for a geometry-optimized K4Rb2InSb2 structure.

POSCAR file:
```
K4Rb2InSb2
1.0
-3.129 -4.460 -2.126
3.520 -8.040 3.624
-4.300 -4.300 7.292
K Rb In Sb
4 2 1 2
direct
0.138 0.657 0.067 K
0.862 0.933 0.343 K
0.862 0.343 0.933 K
0.138 0.067 0.657 K
0.361 0.640 0.640 Rb
0.639 0.360 0.360 Rb
0.500 0.000 0.000 In
0.300 0.200 0.200 Sb
0.700 0.800 0.800 Sb
```

- Formation energy from raw total energies: -225 meV/atom
- Size of the total moment: 0.11 Bohr magnetons per cell
- Calculated total energy: -2.15 eV/atom

12.
## PmPrInIr (PBE)

Data for a geometry-optimized PmPrInIr structure.

POSCAR file:
```
PmPrInIr
1.0
5.245 0.000 0.000
2.623 4.542 0.000
2.623 1.514 4.283
Pr Ir In Pm
1 1 1 1
direct
0.750 0.750 0.750 Pr
0.000 0.000 0.000 Ir
0.500 0.500 0.500 In
0.250 0.250 0.250 Pm
```

- Size of the total moment: 0.00 Bohr magnetons per cell
- Energy of formation from the pure elements: -0.402 eV per atom
- Calculated total energy: -5.68 eV/atom

13.
## AlNiCl2 (PBE)

Data for a geometry-optimized AlNiCl2 structure.

POSCAR file:
```
AlNiCl2
1.0
-1.563 -3.319 2.821
2.482 -3.854 0.637
2.090 -0.761 4.058
Ni Al Cl
1 1 2
direct
0.750 0.750 0.750 Ni
0.500 0.500 0.500 Al
0.000 0.000 0.000 Cl
0.250 0.250 0.250 Cl
```

- Energy above the most stable polymorph in this dataset: 898 meV per atom
- Formation energy from raw total energies: 327 meV/atom
- Size of the total moment: 0.01 Bohr magnetons per cell
- Calculated total energy: -2.98 eV/atom